No. 1
VASP calculation (PBE) on a relaxed structure of NaFeCoOs2.

Cell lengths 4.4603, 4.4603, 4.5058 Å; angles 90.00, 90.00, 90.00 degrees
Closest atoms and distances in Å follow each position.
Space group P4/mmm (No. 123)
Inequivalent atoms, fractional coordinates:
1 Na 0.0000 0.0000 0.0000 x1  4 Fe 3.15, 8 Os 3.17
2 Fe 0.5000 0.5000 0.0000 x1  2 Co 2.25
3 Co 0.5000 0.5000 0.5000 x1  4 Os 2.23, 2 Fe 2.25
4 Os 0.0000 0.5000 0.5000 x2  2 Co 2.23

Summary:
**Energy relative to the elements**: 1480.4 meV per atom
**E**: -6.389 eV/atom

***

No. 2
VASP calculation (PBE) on a relaxed structure of NiSnPd3.

Cell lengths 4.7718, 5.6450, 6.2312 Å; angles 76.74, 75.65, 76.47 degrees
Closest atoms and distances in Å follow each position.
Space group P-1 (No. 2)
Inequivalent atoms, fractional coordinates:
1 Ni 0.0000 0.0000 0.0000 x1  2 Sn 2.62, 8 Pd 2.67-2.83, 2 Ni 2.82
2 Ni 0.0000 0.5000 0.0000 x1  8 Pd 2.63-2.91, 2 Ni 2.82, 2 Sn 2.82
3 Sn 0.2216 0.2683 0.6197 x2  2 Ni 2.62-2.82, 9 Pd 2.71-2.90
4 Pd 0.1906 0.7800 0.6130 x2  2 Ni 2.64-2.82, 5 Pd 2.73-2.93, 4 Sn 2.80-2.85
5 Pd 0.3743 0.5962 0.1994 x2  3 Ni 2.63-2.91, 6 Pd 2.77-2.87, 3 Sn 2.78-2.88
6 Pd 0.3910 0.1039 0.1899 x2  3 Ni 2.67-2.83, 2 Sn 2.71-2.90, 7 Pd 2.73-2.93

Summary:
**Energy relative to the elements**: -276.9 meV per atom
**E**: -5.349 eV/atom
**ΔE to the lowest computed polymorph**: 0 meV per atom